[1]
PBEsol Na2LiGe2, optimized geometry; calculated formation energy = 108 meV/atom; space group = I4/mmm (139); spin magnetization = 0.000 μB per formula unit
1.0
3.7079 0.0000 0.0000
0.0000 3.7079 0.0000
0.0000 0.0000 18.6860
Na Li Ge
4 2 4
Direct
0.0000 0.0000 0.1146
0.0000 0.0000 0.8854
0.5000 0.5000 0.3854
0.5000 0.5000 0.6146
0.0000 0.0000 0.5000
0.5000 0.5000 0.0000
0.0000 0.5000 0.2500
0.0000 0.5000 0.7500
0.5000 0.0000 0.2500
0.5000 0.0000 0.7500



[2]
PBEsol MgCrIr, optimized geometry; calculated formation energy = 931 meV/atom; space group = F-43m (216); spin magnetization = 3.760 μB per formula unit
1.0
5.9090 0.0000 0.0000
0.0000 5.9090 0.0000
0.0000 0.0000 5.9090
Mg Cr Ir
4 4 4
Direct
0.0000 0.0000 0.0000
0.0000 0.5000 0.5000
0.5000 0.0000 0.5000
0.5000 0.5000 0.0000
0.2500 0.2500 0.2500
0.2500 0.7500 0.7500
0.7500 0.2500 0.7500
0.7500 0.7500 0.2500
0.2500 0.2500 0.7500
0.2500 0.7500 0.2500
0.7500 0.2500 0.2500
0.7500 0.7500 0.7500



[3]
PBEsol La2FePt, optimized geometry; calculated formation energy = -155 meV/atom; space group = P4mm (99); spin magnetization = 1.252 μB per formula unit
1.0
4.1169 0.0000 0.0000
0.0000 4.1169 0.0000
0.0000 0.0000 5.8020
La Fe Pt
2 1 1
Direct
0.0000 0.0000 0.0000
0.5000 0.5000 0.4825
0.0000 0.0000 0.4994
0.5000 0.5000 0.9822